Entry 1:
Fe2POs, PBEsol geometry, DFT meta-GGA SCAN; electronic total energy = -29.370 eV/atom; calculated density = 12.41 g cm⁻³; calculated volume = 44.5 Å³/cell; DFT formation energy = 0.2643 eV/atom; total magnetic moment = 1.87 μB/f.u.
1.0
-1.7595 1.7595 3.5970
1.7595 -1.7595 3.5970
1.7595 1.7595 -3.5970
Fe P Os
2 1 1
Direct
0.2500 0.7500 0.5000
0.7500 0.2500 0.5000
0.0000 0.0000 0.0000
0.5000 0.5000 0.0000

***

Entry 2:
Fe2POs, PBEsol geometry, DFT meta-GGA SCAN; electronic total energy = -29.593 eV/atom; calculated density = 12.10 g cm⁻³; calculated volume = 45.7 Å³/cell; DFT formation energy = 0.0411 eV/atom; total magnetic moment = 1.02 μB/f.u.
1.0
-1.3553 1.9905 4.2333
1.3553 -1.9905 4.2333
1.3553 1.9905 -4.2333
Fe P Os
2 1 1
Direct
0.0000 0.0000 0.0000
0.7041 0.2041 0.5000
0.2006 0.7006 0.5000
0.4254 0.4254 0.0000

***

Entry 3:
FePOs3, PBEsol geometry, DFT meta-GGA SCAN; electronic total energy = -47.793 eV/atom; calculated density = 13.82 g cm⁻³; calculated volume = 79.0 Å³/cell; DFT formation energy = 1.0403 eV/atom; total magnetic moment = 4.88 μB/f.u.
1.0
4.2905 0.0000 0.0000
0.0000 4.2905 0.0000
0.0000 0.0000 4.2905
Fe P Os
1 1 3
Direct
0.0000 0.0000 0.0000
0.5000 0.5000 0.5000
0.0000 0.5000 0.5000
0.5000 0.0000 0.5000
0.5000 0.5000 0.0000

***

Entry 4:
FeOsPb2, PBEsol geometry, DFT meta-GGA SCAN; electronic total energy = -59.971 eV/atom; calculated density = 13.60 g cm⁻³; calculated volume = 80.6 Å³/cell; DFT formation energy = 0.4220 eV/atom; total magnetic moment = 2.57 μB/f.u.
1.0
3.1005 0.0000 0.0000
0.0000 3.1005 0.0000
0.0000 0.0000 8.3873
Fe Os Pb
1 1 2
Direct
0.0000 0.0000 0.0000
0.5000 0.5000 0.1393
0.0000 0.0000 0.3857
0.5000 0.5000 0.7696

***

Entry 5:
FeOsPb, PBEsol geometry, DFT meta-GGA SCAN; electronic total energy = -54.519 eV/atom; calculated density = 13.19 g cm⁻³; calculated volume = 57.1 Å³/cell; DFT formation energy = 0.7448 eV/atom; total magnetic moment = 3.27 μB/f.u.
1.0
0.0000 3.0560 3.0560
3.0560 0.0000 3.0560
3.0560 3.0560 0.0000
Fe Os Pb
1 1 1
Direct
0.0000 0.0000 0.0000
0.2500 0.2500 0.2500
0.5000 0.5000 0.5000

***

Entry 6:
Fe3OsPb, PBEsol geometry, DFT meta-GGA SCAN; electronic total energy = -39.249 eV/atom; calculated density = 9.76 g cm⁻³; calculated volume = 96.1 Å³/cell; DFT formation energy = 1.1610 eV/atom; total magnetic moment = 9.98 μB/f.u.
1.0
4.5812 0.0000 0.0000
0.0000 4.5812 0.0000
0.0000 0.0000 4.5812
Fe Os Pb
3 1 1
Direct
0.0000 0.0000 0.5000
0.0000 0.5000 0.0000
0.5000 0.0000 0.0000
0.0000 0.0000 0.0000
0.5000 0.5000 0.5000

***

Entry 7:
FeOsPt, PBEsol geometry, DFT meta-GGA SCAN; electronic total energy = -53.370 eV/atom; calculated density = 18.21 g cm⁻³; calculated volume = 40.2 Å³/cell; DFT formation energy = 0.0311 eV/atom; total magnetic moment = 2.62 μB/f.u.
1.0
2.6831 0.0000 0.0000
-1.3416 2.3237 0.0000
0.0000 0.0000 6.4523
Fe Os Pt
1 1 1
Direct
0.0000 0.0000 0.0000
0.3333 0.6667 0.6945
0.6667 0.3333 0.3320

***

Entry 8:
FeOsPt, PBEsol geometry, DFT meta-GGA SCAN; electronic total energy = -52.785 eV/atom; calculated density = 15.05 g cm⁻³; calculated volume = 48.7 Å³/cell; DFT formation energy = 0.6158 eV/atom; total magnetic moment = 2.47 μB/f.u.
1.0
0.0000 2.8979 2.8979
2.8979 0.0000 2.8979
2.8979 2.8979 0.0000
Fe Os Pt
1 1 1
Direct
0.0000 0.0000 0.0000
0.5000 0.5000 0.5000
0.7500 0.7500 0.7500

***

Entry 9:
FeOs2Pt, PBEsol geometry, DFT meta-GGA SCAN; electronic total energy = -57.973 eV/atom; calculated density = 19.16 g cm⁻³; calculated volume = 54.7 Å³/cell; DFT formation energy = 0.0475 eV/atom; total magnetic moment = 2.87 μB/f.u.
1.0
1.3486 0.7786 8.6840
-1.3486 0.7786 8.6840
0.0000 -1.5573 8.6840
Fe Os Pt
1 2 1
Direct
0.0000 0.0000 0.0000
0.2526 0.2526 0.2526
0.5039 0.5039 0.5039
0.7481 0.7481 0.7481

***

Entry 10:
FeOs2Pt, PBEsol geometry, DFT meta-GGA SCAN; electronic total energy = -58.024 eV/atom; calculated density = 19.21 g cm⁻³; calculated volume = 54.6 Å³/cell; DFT formation energy = -0.0036 eV/atom; total magnetic moment = 3.11 μB/f.u.
1.0
2.6906 0.0000 0.0000
0.0000 2.6906 0.0000
0.0000 0.0000 7.5371
Fe Os Pt
1 2 1
Direct
0.0000 0.0000 0.0000
0.0000 0.0000 0.4856
0.5000 0.5000 0.2445
0.5000 0.5000 0.7559

***

Entry 11:
RbFeOs3, PBEsol geometry, DFT meta-GGA SCAN; electronic total energy = -46.484 eV/atom; calculated density = 12.05 g cm⁻³; calculated volume = 98.1 Å³/cell; DFT formation energy = 4.4180 eV/atom; total magnetic moment = 5.10 μB/f.u.
1.0
4.6117 0.0000 0.0000
0.0000 4.6117 0.0000
0.0000 0.0000 4.6117
Rb Fe Os
1 1 3
Direct
0.0000 0.0000 0.0000
0.5000 0.5000 0.5000
0.0000 0.0000 0.5000
0.0000 0.5000 0.0000
0.5000 0.0000 0.0000

***

Entry 12:
FeReOs, PBEsol geometry, DFT meta-GGA SCAN; electronic total energy = -53.420 eV/atom; calculated density = 17.52 g cm⁻³; calculated volume = 41.0 Å³/cell; DFT formation energy = 0.2826 eV/atom; total magnetic moment = 3.16 μB/f.u.
1.0
0.0000 2.2168 6.5105
1.4198 0.0000 6.5105
1.4198 2.2168 0.0000
Fe Re Os
1 1 1
Direct
0.0000 0.0000 0.0000
0.6623 0.6623 0.3377
0.3361 0.3361 0.6639

***

Entry 13:
FeReOs, PBEsol geometry, DFT meta-GGA SCAN; electronic total energy = -53.578 eV/atom; calculated density = 17.99 g cm⁻³; calculated volume = 39.9 Å³/cell; DFT formation energy = 0.1240 eV/atom; total magnetic moment = 2.26 μB/f.u.
1.0
2.6811 0.0000 0.0000
-1.3406 2.3219 0.0000
0.0000 0.0000 6.4093
Fe Re Os
1 1 1
Direct
0.0000 0.0000 0.0000
0.6667 0.3333 0.3294
0.3333 0.6667 0.6758

***

Entry 14:
FeOsRh, PBEsol geometry, DFT meta-GGA SCAN; electronic total energy = -40.622 eV/atom; calculated density = 12.67 g cm⁻³; calculated volume = 45.8 Å³/cell; DFT formation energy = 0.6381 eV/atom; total magnetic moment = 2.61 μB/f.u.
1.0
0.0000 2.8388 2.8388
2.8388 0.0000 2.8388
2.8388 2.8388 0.0000
Fe Os Rh
1 1 1
Direct
0.0000 0.0000 0.0000
0.2500 0.2500 0.2500
0.5000 0.5000 0.5000

***

Entry 15:
Fe2OsRu, PBEsol geometry, DFT meta-GGA SCAN; electronic total energy = -35.501 eV/atom; calculated density = 13.08 g cm⁻³; calculated volume = 51.2 Å³/cell; DFT formation energy = 0.2402 eV/atom; total magnetic moment = 6.30 μB/f.u.
1.0
1.3848 -2.1863 0.0000
1.3848 2.1863 0.0000
0.0000 0.0000 8.4478
Fe Os Ru
2 1 1
Direct
0.0000 0.0000 0.0000
0.5000 0.5000 0.2302
0.5000 0.5000 0.7490
0.0000 0.0000 0.4781

***

Entry 16:
FeOs3Ru, PBEsol geometry, DFT meta-GGA SCAN; electronic total energy = -51.663 eV/atom; calculated density = 15.31 g cm⁻³; calculated volume = 78.9 Å³/cell; DFT formation energy = 2.0563 eV/atom; total magnetic moment = 0.01 μB/f.u.
1.0
4.2893 0.0000 0.0000
0.0000 4.2893 0.0000
0.0000 0.0000 4.2893
Fe Os Ru
1 3 1
Direct
0.0000 0.0000 0.0000
0.0000 0.0000 0.5000
0.0000 0.5000 0.0000
0.5000 0.0000 0.0000
0.5000 0.5000 0.5000

***

Entry 17:
Fe2OsRu, PBEsol geometry, DFT meta-GGA SCAN; electronic total energy = -35.541 eV/atom; calculated density = 14.10 g cm⁻³; calculated volume = 47.4 Å³/cell; DFT formation energy = 0.2001 eV/atom; total magnetic moment = 4.18 μB/f.u.
1.0
2.5787 0.0000 0.0000
0.0000 3.5641 0.0000
0.0000 0.0000 5.1623
Fe Os Ru
2 1 1
Direct
0.0000 0.0000 0.2501
0.0000 0.0000 0.7499
0.5000 0.5000 0.0000
0.5000 0.5000 0.5000

***

Entry 18:
FeOs2Ru, PBEsol geometry, DFT meta-GGA SCAN; electronic total energy = -49.029 eV/atom; calculated density = 17.17 g cm⁻³; calculated volume = 52.0 Å³/cell; DFT formation energy = 0.1498 eV/atom; total magnetic moment = 2.20 μB/f.u.
1.0
4.3617 -1.3254 0.0000
4.3617 1.3254 0.0000
-0.7915 0.0000 4.4942
Fe Os Ru
1 2 1
Direct
0.0000 0.0000 0.0000
0.2527 0.2527 0.7600
0.5012 0.5012 0.5011
0.7501 0.7501 0.2443

***

Entry 19:
Fe2OsRu, PBEsol geometry, DFT meta-GGA SCAN; electronic total energy = -35.546 eV/atom; calculated density = 14.10 g cm⁻³; calculated volume = 47.4 Å³/cell; DFT formation energy = 0.1958 eV/atom; total magnetic moment = 4.20 μB/f.u.
1.0
2.5858 -3.5537 0.0000
2.5858 3.5537 0.0000
0.0000 0.0000 2.5816
Fe Os Ru
2 1 1
Direct
0.0000 0.5000 0.0000
0.5000 0.0000 0.0000
0.0000 0.0000 0.5000
0.5000 0.5000 0.5000

***

Entry 20:
FeSi2OsRu, PBEsol geometry, DFT meta-GGA SCAN; electronic total energy = -27.882 eV/atom; calculated density = 7.32 g cm⁻³; calculated volume = 91.5 Å³/cell; raw formation energy = 1.091 eV per atom; total magnetic moment = 5.78 μB/f.u.
1.0
4.4177 0.0000 0.0000
0.0000 4.4177 0.0000
0.0000 0.0000 4.6878
Fe Si Os Ru
1 2 1 1
Direct
0.0000 0.0000 0.0000
0.0000 0.5000 0.5000
0.5000 0.0000 0.5000
0.0000 0.0000 0.5000
0.5000 0.5000 0.0000

***

Entry 21:
Fe3OsS, PBEsol geometry, DFT meta-GGA SCAN; electronic total energy = -25.680 eV/atom; calculated density = 7.22 g cm⁻³; calculated volume = 89.6 Å³/cell; raw formation energy = 1.499 eV per atom; total magnetic moment = 10.13 μB/f.u.
1.0
4.4753 0.0000 0.0000
0.0000 4.4753 0.0000
0.0000 0.0000 4.4753
Fe Os S
3 1 1
Direct
0.0000 0.0000 0.5000
0.0000 0.5000 0.0000
0.5000 0.0000 0.0000
0.0000 0.0000 0.0000
0.5000 0.5000 0.5000

***

Entry 22:
FeSbOs2, PBEsol geometry, DFT meta-GGA SCAN; electronic total energy = -49.176 eV/atom; calculated density = 15.61 g cm⁻³; calculated volume = 59.4 Å³/cell; raw formation energy = 0.612 eV per atom; total magnetic moment = 2.48 μB/f.u.
1.0
0.0000 3.0964 3.0964
3.0964 0.0000 3.0964
3.0964 3.0964 0.0000
Fe Sb Os
1 1 2
Direct
0.0000 0.0000 0.0000
0.7500 0.7500 0.7500
0.2500 0.2500 0.2500
0.5000 0.5000 0.5000

***

Entry 23:
FeSbOs2, PBEsol geometry, DFT meta-GGA SCAN; electronic total energy = -49.190 eV/atom; calculated density = 15.23 g cm⁻³; calculated volume = 60.9 Å³/cell; raw formation energy = 0.597 eV per atom; total magnetic moment = 3.74 μB/f.u.
1.0
2.8536 0.0000 0.0000
0.0000 4.3918 0.0000
-0.2574 0.0000 4.8554
Fe Sb Os
1 1 2
Direct
0.0000 0.0000 0.0000
0.5000 0.0000 0.5000
0.2431 0.5000 0.7715
0.7569 0.5000 0.2285

***

Entry 24:
ScFeOs2, PBEsol geometry, DFT meta-GGA SCAN; electronic total energy = -44.171 eV/atom; calculated density = 14.08 g cm⁻³; calculated volume = 56.8 Å³/cell; DFT formation energy = -0.1391 eV/atom; total magnetic moment = 3.12 μB/f.u.
1.0
4.2755 0.0000 0.0000
0.0000 4.2755 0.0000
0.0000 0.0000 3.1047
Sc Fe Os
1 1 2
Direct
0.0000 0.0000 0.0000
0.5000 0.5000 0.0000
0.0000 0.5000 0.5000
0.5000 0.0000 0.5000

***

Entry 25:
Sc2FeOs, PBEsol geometry, DFT meta-GGA SCAN; electronic total energy = -29.688 eV/atom; calculated density = 8.95 g cm⁻³; calculated volume = 62.3 Å³/cell; DFT formation energy = -0.0675 eV/atom; total magnetic moment = 2.39 μB/f.u.
1.0
0.0000 3.1471 3.1471
3.1471 0.0000 3.1471
3.1471 3.1471 0.0000
Sc Fe Os
2 1 1
Direct
0.0000 0.0000 0.0000
0.2500 0.2500 0.2500
0.5000 0.5000 0.5000
0.7500 0.7500 0.7500

***

Entry 26:
ScFeOs2, PBEsol geometry, DFT meta-GGA SCAN; electronic total energy = -44.015 eV/atom; calculated density = 13.73 g cm⁻³; calculated volume = 58.2 Å³/cell; DFT formation energy = 0.0169 eV/atom; total magnetic moment = 2.57 μB/f.u.
1.0
2.7706 0.0000 0.0000
0.0000 3.8212 0.0000
0.0000 0.0000 5.4982
Sc Fe Os
1 1 2
Direct
0.0000 0.0000 0.0000
0.5000 0.5000 0.2531
0.0000 0.0000 0.4969
0.5000 0.5000 0.7109

***

Entry 27:
ScFeOs2, PBEsol geometry, DFT meta-GGA SCAN; electronic total energy = -44.073 eV/atom; calculated density = 13.92 g cm⁻³; calculated volume = 57.4 Å³/cell; DFT formation energy = -0.0415 eV/atom; total magnetic moment = 2.71 μB/f.u.
1.0
0.0000 3.0617 3.0617
3.0617 0.0000 3.0617
3.0617 3.0617 0.0000
Sc Fe Os
1 1 2
Direct
0.0000 0.0000 0.0000
0.7500 0.7500 0.7500
0.2500 0.2500 0.2500
0.5000 0.5000 0.5000

***

Entry 28:
ScFe3Os, PBEsol geometry, DFT meta-GGA SCAN; electronic total energy = -26.228 eV/atom; calculated density = 9.24 g cm⁻³; calculated volume = 72.4 Å³/cell; DFT formation energy = 1.8727 eV/atom; total magnetic moment = 8.28 μB/f.u.
1.0
4.1674 0.0000 0.0000
0.0000 4.1674 0.0000
0.0000 0.0000 4.1674
Sc Fe Os
1 3 1
Direct
0.0000 0.0000 0.0000
0.0000 0.0000 0.5000
0.0000 0.5000 0.0000
0.5000 0.0000 0.0000
0.5000 0.5000 0.5000

***

Entry 29:
Sc2FeOs, PBEsol geometry, DFT meta-GGA SCAN; electronic total energy = -29.739 eV/atom; calculated density = 7.69 g cm⁻³; calculated volume = 72.6 Å³/cell; DFT formation energy = -0.1180 eV/atom; total magnetic moment = 0.00 μB/f.u.
1.0
3.9152 0.0000 0.0000
0.0000 1.9972 4.6400
0.0000 -1.9972 4.6400
Sc Fe Os
2 1 1
Direct
0.0000 0.0000 0.0000
0.5000 0.2949 0.2949
0.0000 0.7054 0.7054
0.5000 0.5931 0.5931

***

Entry 30:
ScFeOs, PBEsol geometry, DFT meta-GGA SCAN; electronic total energy = -34.748 eV/atom; calculated density = 11.17 g cm⁻³; calculated volume = 43.3 Å³/cell; DFT formation energy = 0.0006 eV/atom; total magnetic moment = 0.91 μB/f.u.
1.0
-1.3807 1.3807 5.6762
1.3807 -1.3807 5.6762
1.3807 1.3807 -5.6762
Sc Fe Os
1 1 1
Direct
0.0000 0.0000 0.0000
0.6766 0.6766 0.0000
0.3053 0.3053 0.0000

***

Entry 31:
ScFeOs2, PBEsol geometry, DFT meta-GGA SCAN; electronic total energy = -44.027 eV/atom; calculated density = 14.22 g cm⁻³; calculated volume = 56.2 Å³/cell; DFT formation energy = 0.0051 eV/atom; total magnetic moment = 2.26 μB/f.u.
1.0
4.8913 -1.3784 0.0000
4.8913 1.3784 0.0000
-2.0323 0.0000 4.1675
Sc Fe Os
1 1 2
Direct
0.0000 0.0000 0.0000
0.2466 0.2466 0.9022
0.5245 0.5245 0.5024
0.7763 0.7763 0.3993